Here is a geometry-optimized K3TmMo2O8 structure from Alexandria. Energies are from PBE+U.

Properties
VASP energy ... -6.42 eV/atom
ρ ... 4.06 Mg/m³
Volume ... 248.0 Å³/cell
SG ... P-3m1 (164)

Cell and atoms, written as POSCAR:
```
K3TmMo2O8
1.0
6.087 0.000 0.000
-3.044 5.272 0.000
0.000 0.000 7.728
K Tm Mo O
3 1 2 8
Cartesian
0.000 0.000 0.000
0.000 3.515 5.138
3.044 1.757 2.590
0.000 0.000 3.864
0.000 3.515 1.763
3.044 1.757 5.965
0.000 1.788 2.536
-1.495 4.378 2.536
0.000 3.515 7.692
1.548 0.894 5.193
1.495 4.378 2.536
3.044 1.757 0.036
4.539 0.894 5.193
3.044 3.484 5.193
```